(1)
Density functional theory data (GGA-PBE) for a relaxed structure of RbB2As.

Results
**Formation enthalpy at 0 K**: 1185 meV per atom
**Space group**: I-42d (122)

Unit cell a=6.3182 b=6.3182 c=6.3182 alpha=118.92 beta=118.92 gamma=91.87
Last column: nearest neighbours and their distance in Å.
Sites, in units of the cell vectors:
Rb: 0.0000 0.0000 0.0000  4 B 3.21
Rb: 0.7500 0.2500 0.5000  4 B 3.21
B: 0.2732 0.6250 0.1482  2 As 2.05
B: 0.3750 0.5232 0.6482  2 As 2.05
B: 0.4768 0.1250 0.8518  2 As 2.05
B: 0.8750 0.7268 0.3518  2 As 2.05
As: 0.2500 0.7500 0.5000  4 B 2.05
As: 0.5000 0.5000 0.0000  4 B 2.05

***

(2)
Density functional theory data (GGA-PBE) for a relaxed structure of MnZn2N3.

Results
**E_tot**: -6.13 eV/atom
**Space group**: Cmc2_1 (36)

Unit cell a=5.5317 b=5.5317 c=5.2334 alpha=90.00 beta=90.00 gamma=60.14
Last column: nearest neighbours and their distance in Å.
Sites, in units of the cell vectors:
Mn: 0.1639 0.8361 0.5000  4 N 1.76-1.85
Mn: 0.8361 0.1639 0.0000  4 N 1.76-1.85
Zn: 0.1684 0.5023 0.9882  4 N 2.03-2.08
Zn: 0.4977 0.8316 0.9882  4 N 2.03-2.08
Zn: 0.5023 0.1684 0.4882  4 N 2.03-2.08
Zn: 0.8316 0.4977 0.4882  4 N 2.03-2.08
N: 0.1384 0.8616 0.1468  2 Mn 1.84-1.85
N: 0.1649 0.5312 0.5994  1 Mn 1.76
N: 0.4688 0.8351 0.5994  1 Mn 1.76
N: 0.5312 0.1649 0.0994  1 Mn 1.76
N: 0.8351 0.4688 0.0994  1 Mn 1.76
N: 0.8616 0.1384 0.6468  2 Mn 1.84-1.85

***

(3)
Density functional theory data (GGA-PBE) for a relaxed structure of Cs3ZnO2.

Results
**E above lowest polymorph**: 21.62 kJ per mole of atoms
**Space group**: Cmcm (63)

Unit cell a=6.9598 b=6.9598 c=7.5091 alpha=90.00 beta=90.00 gamma=86.59
Last column: nearest neighbours and their distance in Å.
Sites, in units of the cell vectors:
Cs: 0.2090 0.7910 0.7500  2 O 2.74
Cs: 0.3025 0.3025 0.0000  3 O 3.07-3.10
Cs: 0.3025 0.3025 0.5000  3 O 3.07-3.10
Cs: 0.6975 0.6975 0.0000  3 O 3.07-3.10
Cs: 0.6975 0.6975 0.5000  3 O 3.07-3.10
Cs: 0.7910 0.2090 0.2500  2 O 2.74
Zn: 0.1481 0.8519 0.2500  1 O 1.92
Zn: 0.8519 0.1481 0.7500  1 O 1.92
O: 0.0000 0.0000 0.0000  2 Zn 2.35
O: 0.0000 0.0000 0.5000  2 Zn 2.35
O: 0.3488 0.6512 0.2500  1 Zn 1.92
O: 0.6512 0.3488 0.7500  1 Zn 1.92

***

(4)
Density functional theory data (GGA-PBE) for a relaxed structure of NpSnAs2.

Results
**Formation enthalpy at 0 K**: -323 meV per atom
**E above lowest polymorph**: 0.00 kJ per mole of atoms
**Space group**: P4/mmm (123)

Unit cell a=4.7246 b=4.7246 c=3.8200 alpha=90.00 beta=90.00 gamma=90.00
Last column: nearest neighbours and their distance in Å.
Sites, in units of the cell vectors:
Np: 0.0000 0.0000 0.0000  8 As 3.04, 4 Sn 3.34
Sn: 0.5000 0.5000 0.0000  8 As 3.04, 4 Np 3.34
As: 0.0000 0.5000 0.5000  4 Sn 3.04, 4 Np 3.04, 4 As 3.34
As: 0.5000 0.0000 0.5000  4 Sn 3.04, 4 Np 3.04, 4 As 3.34

***

(5)
Density functional theory data (GGA-PBE) for a relaxed structure of Ga2ReC.

Results
**Formation enthalpy at 0 K**: 829 meV per atom
**Space group**: I-42d (122)

Unit cell a=5.7516 b=5.7516 c=5.7516 alpha=97.22 beta=97.22 gamma=138.47
Last column: nearest neighbours and their distance in Å.
Sites, in units of the cell vectors:
Ga: 0.0099 0.6250 0.8849  2 C 2.22
Ga: 0.3750 0.2599 0.3849  2 C 2.22
Ga: 0.7401 0.1250 0.1151  2 C 2.22
Ga: 0.8750 0.9901 0.6151  2 C 2.22
Re: 0.2500 0.7500 0.5000  2 C 2.04
Re: 0.5000 0.5000 0.0000  2 C 2.04
C: 0.0000 0.0000 0.0000  2 Re 2.04, 4 Ga 2.22
C: 0.7500 0.2500 0.5000  2 Re 2.04, 4 Ga 2.22

***

(6)
Density functional theory data (GGA-PBE) for a relaxed structure of TlZnSb2Pb.

Results
**E_tot**: -2.37 eV/atom
**Space group**: P4/mmm (123)

Unit cell a=5.8442 b=5.8442 c=6.2843 alpha=90.00 beta=90.00 gamma=90.00
Last column: nearest neighbours and their distance in Å.
Sites, in units of the cell vectors:
Tl: 0.0000 0.0000 0.0000  2 Pb 3.14
Zn: 0.5000 0.5000 0.0000  4 Tl 4.13, 8 Sb 4.29
Sb: 0.0000 0.5000 0.5000  2 Pb 2.92
Sb: 0.5000 0.0000 0.5000  2 Pb 2.92
Pb: 0.0000 0.0000 0.5000  4 Sb 2.92, 2 Tl 3.14

***

(7)
Density functional theory data (GGA-PBE) for a relaxed structure of Hf3NbRu4.

Results
**Formation enthalpy at 0 K**: -657 meV per atom
**Space group**: Pmmm (47)

Unit cell a=3.2192 b=4.5625 c=9.1340 alpha=90.00 beta=90.00 gamma=90.00
Last column: nearest neighbours and their distance in Å.
Sites, in units of the cell vectors:
Hf: 0.0000 0.0000 0.0000  8 Ru 2.79-2.81
Hf: 0.0000 0.5000 0.2527  8 Ru 2.77-2.81
Hf: 0.0000 0.5000 0.7473  8 Ru 2.77-2.81
Nb: 0.0000 0.0000 0.5000  8 Ru 2.77-2.79
Ru: 0.5000 0.0000 0.2528  2 Nb 2.77, 6 Hf 2.79-2.81
Ru: 0.5000 0.0000 0.7472  2 Nb 2.77, 6 Hf 2.79-2.81
Ru: 0.5000 0.5000 0.0000  8 Hf 2.79-2.81
Ru: 0.5000 0.5000 0.5000  4 Hf 2.77, 4 Nb 2.79

***

(8)
Density functional theory data (GGA-PBE) for a relaxed structure of Li2Al5Ga4.

Results
**Formation enthalpy at 0 K**: 1 meV per atom
**Space group**: P2/m (10)

Unit cell a=8.0527 b=2.9135 c=9.0392 alpha=90.00 beta=114.72 gamma=90.00
Last column: nearest neighbours and their distance in Å.
Sites, in units of the cell vectors:
Li: 0.1599 0.0000 0.4874  3 Li 2.68-2.91, 2 Al 2.69-2.93, 6 Ga 2.70-2.76
Li: 0.8401 0.0000 0.5126  3 Li 2.68-2.91, 2 Al 2.69-2.93, 6 Ga 2.70-2.76
Al: 0.1740 0.0000 0.9887  4 Ga 2.68-2.69, 4 Al 2.77-2.91
Al: 0.4536 0.0000 0.8170  5 Al 2.77-3.07, 2 Ga 2.79, 1 Li 2.93
Al: 0.5000 0.0000 0.5000  2 Li 2.69, 4 Ga 2.84, 2 Al 2.91
Al: 0.5464 0.0000 0.1830  5 Al 2.77-3.07, 2 Ga 2.79, 1 Li 2.93
Al: 0.8260 0.0000 0.0113  4 Ga 2.68-2.69, 4 Al 2.77-2.91
Ga: 0.1298 0.5000 0.7263  4 Al 2.68-2.79, 4 Li 2.70-2.74, 3 Ga 2.88-2.91
Ga: 0.2173 0.5000 0.2530  4 Al 2.69-2.84, 2 Li 2.76, 3 Ga 2.88-2.91
Ga: 0.7827 0.5000 0.7470  4 Al 2.69-2.84, 2 Li 2.76, 3 Ga 2.88-2.91
Ga: 0.8702 0.5000 0.2737  4 Al 2.68-2.79, 4 Li 2.70-2.74, 3 Ga 2.88-2.91

***

(9)
Density functional theory data (GGA-PBE) for a relaxed structure of LaRhCN.

Results
**E_tot**: -8.08 eV/atom
**Space group**: P4/nmm (129)

Unit cell a=3.8169 b=3.8169 c=7.5710 alpha=90.00 beta=90.00 gamma=90.00
Last column: nearest neighbours and their distance in Å.
Sites, in units of the cell vectors:
La: 0.2500 0.2500 0.1718  5 N 2.53-2.70
La: 0.7500 0.7500 0.8282  5 N 2.53-2.70
Rh: 0.2500 0.7500 0.5000  4 C 2.25
Rh: 0.7500 0.2500 0.5000  4 C 2.25
C: 0.2500 0.2500 0.6566  1 N 1.37
C: 0.7500 0.7500 0.3434  1 N 1.37
N: 0.2500 0.2500 0.8370  1 C 1.37
N: 0.7500 0.7500 0.1630  1 C 1.37

***

(10)
Density functional theory data (GGA-PBE) for a relaxed structure of Dy2ErNi.

Results
**Formation enthalpy at 0 K**: -254 meV per atom
**E above lowest polymorph**: 0.00 kJ per mole of atoms
**Space group**: Pnma (62)

Unit cell a=6.8135 b=9.5484 c=6.2909 alpha=90.00 beta=90.00 gamma=90.00
Last column: nearest neighbours and their distance in Å.
Sites, in units of the cell vectors:
Dy: 0.1798 0.0657 0.1782  2 Ni 2.76-2.84
Dy: 0.1798 0.4343 0.1782  2 Ni 2.76-2.84
Dy: 0.3202 0.5657 0.6782  2 Ni 2.76-2.84
Dy: 0.3202 0.9343 0.6782  2 Ni 2.76-2.84
Dy: 0.6798 0.0657 0.3218  2 Ni 2.76-2.84
Dy: 0.6798 0.4343 0.3218  2 Ni 2.76-2.84
Dy: 0.8202 0.5657 0.8218  2 Ni 2.76-2.84
Dy: 0.8202 0.9343 0.8218  2 Ni 2.76-2.84
Er: 0.0343 0.2500 0.6405  2 Ni 2.71-2.76
Er: 0.4657 0.7500 0.1405  2 Ni 2.71-2.76
Er: 0.5343 0.2500 0.8595  2 Ni 2.71-2.76
Er: 0.9657 0.7500 0.3595  2 Ni 2.71-2.76
Ni: 0.1088 0.7500 0.9487  2 Er 2.71-2.76, 4 Dy 2.76-2.84
Ni: 0.3912 0.2500 0.4487  2 Er 2.71-2.76, 4 Dy 2.76-2.84
Ni: 0.6088 0.7500 0.5513  2 Er 2.71-2.76, 4 Dy 2.76-2.84
Ni: 0.8912 0.2500 0.0513  2 Er 2.71-2.76, 4 Dy 2.76-2.84

***

(11)
Density functional theory data (GGA-PBE) for a relaxed structure of Sr2FeIr.

Results
**Formation enthalpy at 0 K**: 482 meV per atom
**Space group**: P4/mmm (123)

Unit cell a=3.5649 b=3.5649 c=8.0339 alpha=90.00 beta=90.00 gamma=90.00
Last column: nearest neighbours and their distance in Å.
Sites, in units of the cell vectors:
Sr: 0.0000 0.0000 0.2256  4 Ir 3.10, 4 Fe 3.35
Sr: 0.0000 0.0000 0.7744  4 Ir 3.10, 4 Fe 3.35
Fe: 0.5000 0.5000 0.5000  8 Sr 3.35, 4 Fe 3.56
Ir: 0.5000 0.5000 0.0000  8 Sr 3.10

***

(12)
Density functional theory data (GGA-PBE) for a relaxed structure of Li2AlMo.

Results
**Formation enthalpy at 0 K**: 118 meV per atom
**Space group**: Pmm2 (25)

Unit cell a=2.6466 b=4.5956 c=5.1488 alpha=90.00 beta=90.00 gamma=90.00
Last column: nearest neighbours and their distance in Å.
Sites, in units of the cell vectors:
Li: 0.0000 0.0000 0.0000  6 Li 2.65-2.77, 2 Al 2.74, 2 Mo 2.93
Li: 0.5000 0.5000 0.1585  6 Li 2.65-2.77, 4 Mo 2.84-2.95
Al: 0.5000 0.0000 0.5332  2 Al 2.65, 4 Mo 2.72, 2 Li 2.74
Mo: 0.0000 0.5000 0.6475  2 Mo 2.65, 4 Al 2.72, 6 Li 2.84-2.95

***

| no. | calculated density (Mg/m³) |
| --- | --- |
| 1 | 3.34 |
| 2 | 5.45 |
| 3 | 4.54 |
| 4 | 9.84 |
| 5 | 9.51 |
| 6 | 5.57 |
| 7 | 12.78 |
| 8 | 3.69 |
| 9 | 8.06 |
| 10 | 8.94 |
| 11 | 6.88 |
| 12 | 3.63 |